VASP calculation (meta-GGA SCAN) on a crystal of Mn2CuOs relaxed with PBEsol.

Computed properties:
total magnetization = 5.6 μB/f.u.
DFT formation energy = 0.06 eV per atom
theoretical density = 12.73 g/cm³
N(E_F) = 3.3 states/eV per cell

```
data_Mn2CuOs
_chemical_formula_sum 'Mn2 Cu1 Os1'
_symmetry_space_group_name_H-M 'P 1'
_symmetry_Int_Tables_number 1
_symmetry_space_group_name_Hall 'P 1'
_cell_length_a 2.615
_cell_length_b 3.576
_cell_length_c 5.073
_cell_angle_alpha 90.00
_cell_angle_beta 90.00
_cell_angle_gamma 90.00
loop_
_atom_site_label
_atom_site_type_symbol
_atom_site_fract_x
_atom_site_fract_y
_atom_site_fract_z
Mn1 Mn 0.000 0.000 0.249
Mn2 Mn 0.000 0.000 0.751
Cu1 Cu 0.500 0.500 0.000
Os1 Os 0.500 0.500 0.500
```